(1)
This record from the Alexandria database describes an optimized crystal structure of NbAlSe2Br. The functional is PBE.

The structure in POSCAR format:
```
NbAlSe2Br
1.0
4.9287 0.0000 0.0000
0.0000 4.9287 0.0000
0.0000 0.0000 4.8243
Nb Al Se Br
1 1 2 1
Direct
0.0000 0.0000 0.0000
0.5000 0.5000 0.5000
0.0000 0.5000 0.5000
0.5000 0.0000 0.5000
0.5000 0.5000 0.0000
```

space-group type = P4/mmm, No. 123
energy relative to the lowest polymorph listed for this composition = 442 meV per atom

(2)
This record from the Alexandria database describes an optimized crystal structure of NbAl2TcBr. The functional is PBE.

The structure in POSCAR format:
```
NbAl2TcBr
1.0
5.1287 0.0000 0.0000
0.0000 5.1287 0.0000
0.0000 0.0000 4.8909
Nb Al Tc Br
1 2 1 1
Direct
0.0000 0.0000 0.0000
0.0000 0.5000 0.0000
0.5000 0.0000 0.0000
0.5000 0.5000 0.5000
0.0000 0.0000 0.5000
```

space-group type = P4/mmm, No. 123

(3)
This record from the Alexandria database describes an optimized crystal structure of NbAl2ZnBr. The functional is PBE.

The structure in POSCAR format:
```
NbAl2ZnBr
1.0
5.0499 0.0000 0.0000
0.0000 5.0499 0.0000
0.0000 0.0000 4.7934
Nb Al Zn Br
1 2 1 1
Direct
0.0000 0.0000 0.0000
0.0000 0.5000 0.5000
0.5000 0.0000 0.5000
0.5000 0.5000 0.0000
0.0000 0.0000 0.5000
```

space-group type = P4/mmm, No. 123

(4)
This record from the Alexandria database describes an optimized crystal structure of NdAl3Br12. The functional is PBE.

The structure in POSCAR format:
```
NdAl3Br12
1.0
11.1526 0.0000 0.0000
-5.5763 9.6584 0.0000
0.0000 0.0000 18.9324
Nd Al Br
3 9 36
Direct
0.0000 0.7531 0.1667
0.2469 0.2469 0.5000
0.7531 0.0000 0.8333
0.0000 0.0725 0.6667
0.0725 0.0000 0.3333
0.2856 0.6628 0.2328
0.3372 0.6227 0.5661
0.3773 0.7144 0.8995
0.6227 0.3372 0.4339
0.6628 0.2856 0.7672
0.7144 0.3773 0.1005
0.9275 0.9275 0.0000
0.0394 0.2085 0.7675
0.0498 0.1873 0.3682
0.0687 0.6197 0.2833
0.1376 0.9502 0.0348
0.1691 0.9606 0.4342
0.1873 0.0498 0.6318
0.1894 0.7297 0.8670
0.1974 0.6615 0.6383
0.2085 0.0394 0.2325
0.2119 0.4925 0.4647
0.2703 0.4597 0.2004
0.2806 0.7881 0.1314
0.3385 0.5360 0.9716
0.3803 0.4490 0.6167
0.4490 0.3803 0.3833
0.4597 0.2703 0.7996
0.4640 0.8026 0.3049
0.4925 0.2119 0.5353
0.5075 0.7194 0.7981
0.5360 0.3385 0.0284
0.5403 0.8106 0.5337
0.5510 0.9313 0.9500
0.6197 0.0687 0.7167
0.6615 0.1974 0.3617
0.7194 0.5075 0.2019
0.7297 0.1894 0.1330
0.7881 0.2806 0.8686
0.7915 0.8309 0.1008
0.8026 0.4640 0.6951
0.8106 0.5403 0.4663
0.8127 0.8624 0.7015
0.8309 0.7915 0.8992
0.8624 0.8127 0.2985
0.9313 0.5510 0.0500
0.9502 0.1376 0.9652
0.9606 0.1691 0.5658
```

space-group type = P3_121, No. 152

(5)
This record from the Alexandria database describes an optimized crystal structure of NdAlBr. The functional is PBE.

The structure in POSCAR format:
```
NdAlBr
1.0
2.5353 -2.5355 0.0000
2.5353 2.5355 0.0000
-0.1624 0.0000 13.1002
Nd Al Br
2 2 2
Direct
0.2429 0.2429 0.2868
0.7571 0.7571 0.7132
0.2516 0.2516 0.5481
0.7484 0.7484 0.4519
0.2615 0.2615 0.8521
0.7385 0.7385 0.1479
```

space-group type = C2/m, No. 12

(6)
This record from the Alexandria database describes an optimized crystal structure of Nd2AlBr. The functional is PBE.

The structure in POSCAR format:
```
Nd2AlBr
1.0
1.9498 1.1257 8.7181
-1.9498 1.1257 8.7181
0.0000 -2.2515 8.7181
Nd Al Br
2 1 1
Direct
0.2453 0.2453 0.2453
0.7547 0.7547 0.7547
0.5000 0.5000 0.5000
0.0000 0.0000 0.0000
```

space-group type = R-3m, No. 166
energy relative to the lowest polymorph listed for this composition = 28 meV per atom

(7)
This record from the Alexandria database describes an optimized crystal structure of Nd7AlBr12. The functional is PBE.

The structure in POSCAR format:
```
Nd7AlBr12
1.0
7.6968 4.4438 3.4219
-7.6968 4.4438 3.4219
0.0000 -8.8875 3.4219
Nd Al Br
7 1 12
Direct
0.0000 0.0000 0.0000
0.1682 0.3878 0.4642
0.3878 0.4642 0.1682
0.4642 0.1682 0.3878
0.5358 0.8318 0.6122
0.6122 0.5358 0.8318
0.8318 0.6122 0.5358
0.5000 0.5000 0.5000
0.0282 0.3381 0.1090
0.1090 0.0282 0.3381
0.1910 0.7277 0.5778
0.2723 0.4222 0.8090
0.3381 0.1090 0.0282
0.4222 0.8090 0.2723
0.5778 0.1910 0.7277
0.6619 0.8910 0.9718
0.7277 0.5778 0.1910
0.8090 0.2723 0.4222
0.8910 0.9718 0.6619
0.9718 0.6619 0.8910
```

space-group type = R-3, No. 148

(8)
This record from the Alexandria database describes an optimized crystal structure of Nd2AlBr. The functional is PBE.

The structure in POSCAR format:
```
Nd2AlBr
1.0
3.5372 0.0000 0.0000
0.0000 3.5372 0.0000
0.0000 0.0000 8.5505
Nd Al Br
2 1 1
Direct
0.0000 0.0000 0.2301
0.0000 0.0000 0.7699
0.5000 0.5000 0.0000
0.5000 0.5000 0.5000
```

space-group type = P4/mmm, No. 123
energy relative to the lowest polymorph listed for this composition = 0 meV per atom

(9)
This record from the Alexandria database describes an optimized crystal structure of Nd2AlBr. The functional is PBE.

The structure in POSCAR format:
```
Nd2AlBr
1.0
1.9129 1.1044 8.9154
-1.9129 1.1044 8.9154
0.0000 -2.2088 8.9154
Nd Al Br
2 1 1
Direct
0.0000 0.0000 0.0000
0.1739 0.1739 0.1739
0.5870 0.5870 0.5870
0.4194 0.4194 0.4194
```

space-group type = R3m, No. 160
energy relative to the lowest polymorph listed for this composition = 12 meV per atom

(10)
This record from the Alexandria database describes an optimized crystal structure of NdAlBr. The functional is PBE.

The structure in POSCAR format:
```
NdAlBr
1.0
3.7360 -2.1569 0.0000
3.7360 2.1569 0.0000
-2.5265 0.0000 11.6366
Nd Al Br
2 2 2
Direct
0.0628 0.0628 0.1858
0.9372 0.9372 0.8142
0.3389 0.3389 0.0164
0.6611 0.6611 0.9836
0.2189 0.2189 0.6615
0.7811 0.7811 0.3385
```

space-group type = C2/m, No. 12

(11)
This record from the Alexandria database describes an optimized crystal structure of NdAl2Br8. The functional is PBE.

The structure in POSCAR format:
```
NdAl2Br8
1.0
6.8754 -5.0076 0.0000
6.8754 5.0076 0.0000
-1.1106 0.0000 6.7713
Nd Al Br
1 2 8
Direct
0.0000 0.0000 0.0000
0.1958 0.1958 0.6534
0.8042 0.8042 0.3466
0.0756 0.7127 0.2404
0.1847 0.1847 0.2999
0.2873 0.9244 0.7596
0.3589 0.3589 0.7857
0.6411 0.6411 0.2143
0.7127 0.0756 0.2404
0.8153 0.8153 0.7001
0.9244 0.2873 0.7596
```

space-group type = C2/m, No. 12

(12)
This record from the Alexandria database describes an optimized crystal structure of Nd4AlBr5. The functional is PBE.

The structure in POSCAR format:
```
Nd4AlBr5
1.0
9.5291 -2.0748 0.0000
9.5291 2.0748 0.0000
-2.0356 0.0000 8.6438
Nd Al Br
4 1 5
Direct
0.0006 0.0006 0.2362
0.3454 0.3454 0.9166
0.6546 0.6546 0.0834
0.9994 0.9994 0.7638
0.5000 0.5000 0.0000
0.1669 0.1669 0.3299
0.1715 0.1715 0.8426
0.5000 0.5000 0.5000
0.8285 0.8285 0.1574
0.8331 0.8331 0.6701
```

space-group type = C2/m, No. 12

(13)
This record from the Alexandria database describes an optimized crystal structure of Nd4AlTe2Br. The functional is PBE.

The structure in POSCAR format:
```
Nd4AlTe2Br
1.0
7.7049 0.0000 0.0000
0.0000 4.3658 0.0000
-2.4768 0.0000 7.3409
Nd Al Te Br
4 1 2 1
Direct
0.2363 0.0000 0.2358
0.2365 0.5000 0.7594
0.7635 0.5000 0.2406
0.7637 0.0000 0.7642
0.0000 0.5000 0.0000
0.0000 0.0000 0.5000
0.5000 0.5000 0.5000
0.5000 0.0000 0.0000
```

space-group type = P2/m, No. 10

(14)
This record from the Alexandria database describes an optimized crystal structure of AlNiBr4. The functional is PBE.

The structure in POSCAR format:
```
AlNiBr4
1.0
0.0000 4.4623 4.4623
4.4623 0.0000 4.4623
4.4623 4.4623 0.0000
Al Ni Br
1 1 4
Direct
0.0000 0.0000 0.0000
0.2500 0.2500 0.2500
0.1275 0.6242 0.6242
0.6242 0.1275 0.6242
0.6242 0.6242 0.1275
0.6242 0.6242 0.6242
```

space-group type = F-43m, No. 216

(15)
This record from the Alexandria database describes an optimized crystal structure of AlNi2Br. The functional is PBE.

The structure in POSCAR format:
```
AlNi2Br
1.0
3.2107 0.0000 0.0000
0.0000 3.2107 0.0000
0.0000 0.0000 6.3858
Al Ni Br
1 2 1
Direct
0.0000 0.0000 0.0000
0.0000 0.0000 0.6285
0.5000 0.5000 0.8511
0.5000 0.5000 0.4545
```

space-group type = P4mm, No. 99
energy relative to the lowest polymorph listed for this composition = 200 meV per atom

(16)
This record from the Alexandria database describes an optimized crystal structure of AlNiBr2. The functional is PBE.

The structure in POSCAR format:
```
AlNiBr2
1.0
1.6561 -3.3896 0.0000
1.6561 3.3896 0.0000
0.0000 0.0000 9.2162
Al Ni Br
1 1 2
Direct
0.0000 0.0000 0.0000
0.5000 0.5000 0.1916
0.0000 0.0000 0.3761
0.5000 0.5000 0.7920
```

space-group type = Cmm2, No. 35
energy relative to the lowest polymorph listed for this composition = 157 meV per atom

(17)
This record from the Alexandria database describes an optimized crystal structure of AlNi2Br. The functional is PBE.

The structure in POSCAR format:
```
AlNi2Br
1.0
1.9051 1.0999 5.7444
-1.9051 1.0999 5.7444
0.0000 -2.1998 5.7444
Al Ni Br
1 2 1
Direct
0.0000 0.0000 0.0000
0.2901 0.2901 0.2901
0.5750 0.5750 0.5750
0.8174 0.8174 0.8174
```

space-group type = R3m, No. 160
energy relative to the lowest polymorph listed for this composition = 195 meV per atom

(18)
This record from the Alexandria database describes an optimized crystal structure of AlNi2Br. The functional is PBE.

The structure in POSCAR format:
```
AlNi2Br
1.0
3.1065 0.0000 0.0000
0.0000 3.1065 0.0000
0.0000 0.0000 6.1195
Al Ni Br
1 2 1
Direct
0.0000 0.0000 0.0000
0.5000 0.5000 0.2022
0.5000 0.5000 0.7978
0.0000 0.0000 0.5000
```

space-group type = P4/mmm, No. 123
energy relative to the lowest polymorph listed for this composition = 111 meV per atom

(19)
This record from the Alexandria database describes an optimized crystal structure of AlNi2Br. The functional is PBE.

The structure in POSCAR format:
```
AlNi2Br
1.0
2.9648 0.0000 0.0000
0.0000 3.2390 0.0000
0.0000 0.0000 6.5445
Al Ni Br
1 2 1
Direct
0.0000 0.0000 0.0000
0.5000 0.5000 0.1876
0.5000 0.5000 0.8124
0.0000 0.5000 0.5000
```

space-group type = Pmmm, No. 47
energy relative to the lowest polymorph listed for this composition = 0 meV per atom

(20)
This record from the Alexandria database describes an optimized crystal structure of AlNi2Br. The functional is PBE.

The structure in POSCAR format:
```
AlNi2Br
1.0
-1.8009 1.8009 4.4632
1.8009 -1.8009 4.4632
1.8009 1.8009 -4.4632
Al Ni Br
1 2 1
Direct
0.0000 0.0000 0.0000
0.5000 0.5000 0.0000
0.7500 0.2500 0.5000
0.2500 0.7500 0.5000
```

space-group type = I-4m2, No. 119
energy relative to the lowest polymorph listed for this composition = 393 meV per atom

no.,formation energy from raw total energies (kJ/mol of atoms)
1,27
2,127
3,117
4,-127
5,-87
6,-69
7,-151
8,-72
9,-70
10,-108
11,-118
12,-131
13,-105
14,91
15,8
16,-11
17,8
18,0
19,-11
20,27